# 1
VASP calculation (PBE) on crystalline Ho5TmAl6 at its relaxed geometry.

Geometry as CIF:
```
data_Ho5TmAl6
_chemical_formula_sum 'Ho10 Tm2 Al12'
_cell_length_a 5.0597
_cell_length_b 15.1897
_cell_length_c 7.1451
_cell_angle_alpha 90.00
_cell_angle_beta 90.00
_cell_angle_gamma 90.00
_space_group_name_H-M_alt 'C m m m'
_space_group_IT_number 65
_space_group_name_Hall '-C 2 2'
loop_
_atom_site_label
_atom_site_type_symbol
_atom_site_fract_x
_atom_site_fract_y
_atom_site_fract_z
Ho1 Ho 0.0000 0.0000 0.0000
Ho2 Ho 0.0000 0.3328 0.0000
Ho3 Ho 0.0000 0.3336 0.5000
Tm1 Tm 0.0000 0.0000 0.5000
Al1 Al 0.0000 0.1660 0.2513
Al2 Al 0.0000 0.5000 0.2509
```

Computed properties:
**Total DFT energy (no corrections)**: -4.55 eV per atom
**Formation energy**: -38.2 kJ/mol of atoms

---

# 2
VASP calculation (PBE) on crystalline Ho12Tm5Al2 at its relaxed geometry.

Geometry as CIF:
```
data_Ho12Tm5Al2
_chemical_formula_sum 'Ho24 Tm10 Al4'
_cell_length_a 14.9687
_cell_length_b 9.2181
_cell_length_c 8.1697
_cell_angle_alpha 90.00
_cell_angle_beta 92.34
_cell_angle_gamma 90.00
_space_group_name_H-M_alt 'C 1 2/m 1'
_space_group_IT_number 12
loop_
_space_group_symop_operation_xyz
'x,y,z'
'-x,-y,-z'
'-x,y,-z'
'x,-y,z'
'x+1/2,y+1/2,z'
'-x+1/2,-y+1/2,-z'
'-x+1/2,y+1/2,-z'
'x+1/2,-y+1/2,z'
loop_
_atom_site_label
_atom_site_type_symbol
_atom_site_fract_x
_atom_site_fract_y
_atom_site_fract_z
Ho1 Ho 0.0530 0.0000 0.3215
Ho2 Ho 0.0801 0.5000 0.8796
Ho3 Ho 0.1258 0.1967 0.6696
Ho4 Ho 0.1445 0.3137 0.2287
Tm1 Tm 0.0000 0.5000 0.5000
Tm2 Tm 0.1888 0.0000 0.0125
Tm3 Tm 0.2328 0.5000 0.5746
Al1 Al 0.0000 0.1711 0.0000
```

Computed properties:
**Total DFT energy (no corrections)**: -4.44 eV per atom
**Formation energy**: 2.2 kJ/mol of atoms

---

# 3
VASP calculation (PBE) on crystalline Ho5TmAl4 at its relaxed geometry.

Geometry as CIF:
```
data_Ho5TmAl4
_chemical_formula_sum 'Ho5 Tm1 Al4'
_cell_length_a 3.5535
_cell_length_b 3.5535
_cell_length_c 19.5333
_cell_angle_alpha 90.00
_cell_angle_beta 90.00
_cell_angle_gamma 90.00
_space_group_name_H-M_alt 'P 4/m m m'
_space_group_IT_number 123
_space_group_name_Hall '-P 4 2'
loop_
_atom_site_label
_atom_site_type_symbol
_atom_site_fract_x
_atom_site_fract_y
_atom_site_fract_z
Ho1 Ho 0.0000 0.0000 0.0000
Ho2 Ho 0.0000 0.0000 0.1864
Ho3 Ho 0.0000 0.0000 0.3742
Tm1 Tm 0.5000 0.5000 0.5000
Al1 Al 0.5000 0.5000 0.0932
Al2 Al 0.5000 0.5000 0.2805
```

Computed properties:
**Total DFT energy (no corrections)**: -4.54 eV per atom
**Formation energy**: -29.9 kJ/mol of atoms